Compound: PaSnHgPd
Source: Alexandria
Functional: PBE
Structure: optimized geometry

Properties
Density: 12.27 g cm⁻³
Calculated total energy: -5.00 eV/atom
Energy of formation: -255 meV per atom

Cell and atoms, written as extended XYZ:
```
4
Lattice="5.0096 0.0000 0.0000 2.5048 4.3384 0.0000 2.5048 1.4461 4.0903" Properties=species:S:1:pos:R:3 pbc="T T T"
Hg 7.5143 4.3384 3.0677
Pd 2.5048 1.4461 1.0226
Pa 5.0096 2.8923 2.0451
Sn 0.0000 0.0000 0.0000
```